Record 1
This record from Alexandria describes a relaxed Sn crystal. The functional is PBE.

Values from the calculation:
DFT formation energy = 0.060 eV per atom
relative energy among the computed polymorphs = 0.060 eV per atom

Cell lengths 5.877, 3.441, 8.467 Å; angles 90.00, 105.86, 90.00 degrees
Space group C2/m (No. 12)
Inequivalent atoms, fractional coordinates:
Sn 0.000 0.000 0.000
Sn 0.228 0.000 0.666



Record 2
This record from Alexandria describes a relaxed Sn crystal. The functional is PBE.

Values from the calculation:
DFT formation energy = 0.040 eV per atom
relative energy among the computed polymorphs = 0.040 eV per atom

Cell lengths 6.100, 6.100, 6.100 Å; angles 90.00, 90.00, 90.00 degrees
Space group Pa-3 (No. 205)
Inequivalent atoms, fractional coordinates:
Sn 0.191 0.191 0.191



Record 3
This record from Alexandria describes a relaxed Sn crystal. The functional is PBE.

Values from the calculation:
DFT formation energy = 0.103 eV per atom
relative energy among the computed polymorphs = 0.103 eV per atom

Cell lengths 4.703, 7.138, 7.237 Å; angles 90.00, 90.00, 90.00 degrees
Space group Pmma (No. 51)
Inequivalent atoms, fractional coordinates:
Sn 0.250 0.000 0.113
Sn 0.250 0.295 0.383